Entry from Alexandria: a relaxed CrIn2F crystal (PBE with a Hubbard U).

POSCAR file:
```
CrIn2F
1.0
0.0000 3.4778 3.4778
3.4778 0.0000 3.4778
3.4778 3.4778 0.0000
Cr F In
1 1 2
Cartesian
3.4778 3.4778 3.4778
0.0000 0.0000 0.0000
5.2167 5.2167 5.2167
1.7389 1.7389 1.7389
```

Calculated values
Distance to the lowest polymorph of the same formula (eV per atom): 0.0765